(1)
{
  "formula": "BaHg4F12",
  "functional": "PBE",
  "state": "relaxed",
  "lattice_angstrom": [[-4.786, -5.122, 1.591], [-0.783, 5.508, 4.553], [-1.081, 2.282, -6.731]],
  "species": ["Ba", "F", "F", "F", "F", "F", "F", "F", "F", "F", "F", "F", "F", "Hg", "Hg", "Hg", "Hg"],
  "fractional_positions": [[0.000, 0.000, 0.000], [0.833, 0.289, 0.122], [0.289, 0.457, 0.167], [0.711, 0.878, 0.167], [0.457, 0.167, 0.289], [0.122, 0.833, 0.289], [0.167, 0.289, 0.457], [0.833, 0.711, 0.543], [0.878, 0.167, 0.711], [0.543, 0.833, 0.711], [0.289, 0.122, 0.833], [0.711, 0.543, 0.833], [0.167, 0.711, 0.878], [0.500, 0.000, 0.000], [0.000, 0.500, 0.000], [0.000, 0.000, 0.500], [0.500, 0.500, 0.500]],
  "spacegroup": "Im-3 (204)",
  "crystal_system": "cubic",
  "total_energy_ev_per_atom": -3.15
}

---

(2)
{
  "formula": "BaHg2Te2F2",
  "functional": "PBE",
  "state": "relaxed",
  "lattice_angstrom": [[4.174, 0.000, 0.000], [0.000, 4.174, 0.000], [0.000, 0.000, 10.264]],
  "species": ["Ba", "F", "F", "Hg", "Hg", "Te", "Te"],
  "fractional_positions": [[0.000, 0.000, 0.500], [0.000, 0.000, 0.000], [0.500, 0.500, 0.000], [0.000, 0.500, 0.143], [0.500, 0.000, 0.857], [0.500, 0.000, 0.250], [0.000, 0.500, 0.750]],
  "spacegroup": "P-4m2 (115)",
  "crystal_system": "tetragonal",
  "total_energy_ev_per_atom": -2.65
}

---

(3)
{
  "formula": "BaIrF6",
  "functional": "PBE",
  "state": "relaxed",
  "lattice_angstrom": [[-6.804, -0.526, 2.244], [1.806, -2.298, -6.562], [1.364, -6.435, 2.629]],
  "species": ["Ba", "Ba", "Ba", "F", "F", "F", "F", "F", "F", "F", "F", "F", "F", "F", "F", "F", "F", "F", "F", "F", "F", "Ir", "Ir", "Ir"],
  "fractional_positions": [[0.333, 0.667, 0.167], [0.000, 0.000, 0.500], [0.667, 0.333, 0.833], [0.613, 0.097, 0.163], [0.903, 0.515, 0.163], [0.485, 0.387, 0.163], [0.054, 0.236, 0.171], [0.182, 0.946, 0.171], [0.764, 0.818, 0.171], [0.152, 0.721, 0.496], [0.569, 0.848, 0.496], [0.279, 0.431, 0.496], [0.848, 0.279, 0.504], [0.721, 0.569, 0.504], [0.431, 0.152, 0.504], [0.818, 0.054, 0.829], [0.236, 0.182, 0.829], [0.946, 0.764, 0.829], [0.388, 0.903, 0.837], [0.097, 0.485, 0.837], [0.515, 0.612, 0.837], [0.000, 0.000, 0.000], [0.667, 0.333, 0.333], [0.333, 0.667, 0.667]],
  "m_tot_mub_per_atom": 0.123,
  "total_energy_ev_per_atom": -5.15
}

---

(4)
{
  "formula": "BaLiZr2F11",
  "functional": "PBE",
  "state": "relaxed",
  "lattice_angstrom": [[4.006, -4.006, -5.466], [4.006, 4.006, 5.466], [-4.006, -4.006, 5.466]],
  "species": ["Ba", "Ba", "F", "F", "F", "F", "F", "F", "F", "F", "F", "F", "F", "F", "F", "F", "F", "F", "F", "F", "F", "F", "F", "F", "Li", "Li", "Zr", "Zr", "Zr", "Zr"],
  "fractional_positions": [[0.000, 0.197, 0.197], [0.000, 0.803, 0.803], [0.500, 0.500, 0.000], [0.572, 0.852, 0.061], [0.906, 0.804, 0.102], [0.209, 0.720, 0.148], [0.860, 0.462, 0.182], [0.298, 0.102, 0.196], [0.428, 0.490, 0.280], [0.721, 0.182, 0.322], [0.860, 0.678, 0.399], [0.279, 0.601, 0.462], [0.209, 0.061, 0.490], [0.500, 0.000, 0.500], [0.791, 0.939, 0.510], [0.721, 0.399, 0.538], [0.140, 0.322, 0.601], [0.279, 0.818, 0.678], [0.572, 0.510, 0.720], [0.702, 0.898, 0.804], [0.140, 0.538, 0.818], [0.791, 0.280, 0.852], [0.094, 0.196, 0.898], [0.428, 0.148, 0.939], [0.500, 0.750, 0.250], [0.500, 0.250, 0.750], [0.567, 0.354, 0.214], [0.140, 0.786, 0.354], [0.860, 0.214, 0.646], [0.433, 0.646, 0.786]],
  "spacegroup": "I4/m (87)",
  "m_tot_mub_per_atom": 0.000,
  "crystal_system": "tetragonal",
  "total_energy_ev_per_atom": -6.39
}

---

(5)
{
  "formula": "Ba3NbF6",
  "functional": "PBE",
  "state": "relaxed",
  "lattice_angstrom": [[5.520, 0.000, 0.000], [-2.760, 4.781, 0.000], [0.000, 0.000, 6.411]],
  "species": ["Ba", "Ba", "Ba", "F", "F", "F", "F", "F", "F", "Nb"],
  "fractional_positions": [[0.000, 0.000, 0.500], [0.667, 0.333, 0.500], [0.333, 0.667, 0.500], [0.322, 0.000, 0.197], [0.000, 0.322, 0.197], [0.678, 0.678, 0.197], [0.678, 0.000, 0.803], [0.322, 0.322, 0.803], [0.000, 0.678, 0.803], [0.000, 0.000, 0.000]],
  "spacegroup": "P-31m (162)",
  "m_tot_mub_per_atom": 0.227,
  "crystal_system": "trigonal",
  "total_energy_ev_per_atom": -4.88
}

---

(6)
{
  "formula": "BaNb2F12",
  "functional": "PBE",
  "state": "relaxed",
  "lattice_angstrom": [[-3.956, -2.909, -0.421], [-0.273, -3.137, -4.169], [3.171, -7.379, 2.734]],
  "species": ["Ba", "F", "F", "F", "F", "F", "F", "F", "F", "F", "F", "F", "F", "Nb", "Nb"],
  "fractional_positions": [[0.905, 0.004, 0.904], [0.884, 0.485, 0.052], [0.343, 0.987, 0.057], [0.663, 0.109, 0.196], [0.090, 0.663, 0.246], [0.995, 0.139, 0.347], [0.529, 0.685, 0.362], [0.371, 0.232, 0.448], [0.933, 0.739, 0.585], [0.788, 0.298, 0.617], [0.364, 0.791, 0.679], [0.312, 0.257, 0.756], [0.385, 0.490, 0.978], [0.233, 0.289, 0.191], [0.367, 0.523, 0.558]],
  "spacegroup": "P1 (1)",
  "m_tot_mub_per_atom": 0.000,
  "crystal_system": "triclinic",
  "total_energy_ev_per_atom": -6.06
}

---

(7)
{
  "formula": "BaNbO3F",
  "functional": "PBE",
  "state": "relaxed",
  "lattice_angstrom": [[-0.156, -3.158, 2.382], [3.564, -3.398, -4.234], [7.608, 0.691, 1.471]],
  "species": ["Ba", "Ba", "F", "F", "Nb", "Nb", "O", "O", "O", "O", "O", "O"],
  "fractional_positions": [[0.748, 0.321, 0.306], [0.252, 0.679, 0.694], [0.248, 0.042, 0.328], [0.752, 0.958, 0.672], [0.249, 0.816, 0.159], [0.751, 0.184, 0.841], [0.249, 0.615, 0.047], [0.749, 0.900, 0.122], [0.249, 0.596, 0.386], [0.751, 0.404, 0.614], [0.251, 0.100, 0.878], [0.751, 0.385, 0.953]],
  "spacegroup": "P-1 (2)",
  "m_tot_mub_per_atom": 0.000,
  "crystal_system": "triclinic",
  "total_energy_ev_per_atom": -7.70
}

---

(8)
{
  "formula": "Ba5Re3O15F",
  "functional": "PBE",
  "state": "relaxed",
  "lattice_angstrom": [[-4.021, -8.015, -6.002], [5.257, -2.230, 9.156], [-6.740, 0.409, 3.969]],
  "species": ["Ba", "Ba", "Ba", "Ba", "Ba", "Ba", "Ba", "Ba", "Ba", "Ba", "F", "F", "O", "O", "O", "O", "O", "O", "O", "O", "O", "O", "O", "O", "O", "O", "O", "O", "O", "O", "O", "O", "O", "O", "O", "O", "O", "O", "O", "O", "O", "O", "Re", "Re", "Re", "Re", "Re", "Re"],
  "fractional_positions": [[0.667, 0.333, 0.000], [0.333, 0.667, 0.000], [0.748, 0.000, 0.241], [0.000, 0.748, 0.241], [0.252, 0.252, 0.241], [0.667, 0.333, 0.500], [0.333, 0.667, 0.500], [0.252, 0.000, 0.741], [0.000, 0.252, 0.741], [0.748, 0.748, 0.741], [0.000, 0.000, 0.268], [0.000, 0.000, 0.768], [0.288, 0.000, 0.116], [0.000, 0.288, 0.116], [0.712, 0.712, 0.116], [0.867, 0.446, 0.253], [0.446, 0.867, 0.253], [0.554, 0.420, 0.253], [0.420, 0.554, 0.253], [0.580, 0.133, 0.253], [0.133, 0.580, 0.253], [0.386, 0.134, 0.438], [0.866, 0.252, 0.438], [0.134, 0.386, 0.438], [0.748, 0.614, 0.438], [0.614, 0.748, 0.438], [0.252, 0.866, 0.438], [0.712, 0.000, 0.616], [0.000, 0.712, 0.616], [0.288, 0.288, 0.616], [0.554, 0.133, 0.753], [0.133, 0.554, 0.753], [0.580, 0.446, 0.753], [0.446, 0.580, 0.753], [0.867, 0.420, 0.753], [0.420, 0.867, 0.753], [0.386, 0.252, 0.938], [0.252, 0.386, 0.938], [0.866, 0.614, 0.938], [0.614, 0.866, 0.938], [0.748, 0.134, 0.938], [0.134, 0.748, 0.938], [0.389, 0.000, 0.293], [0.000, 0.389, 0.293], [0.611, 0.611, 0.293], [0.611, 0.000, 0.793], [0.000, 0.611, 0.793], [0.389, 0.389, 0.793]],
  "spacegroup": "P6_3cm (185)",
  "m_tot_mub_per_atom": 0.000,
  "crystal_system": "hexagonal",
  "total_energy_ev_per_atom": -7.49
}

---

(9)
{
  "formula": "Ba2Tm2Se2OF2",
  "functional": "PBE",
  "state": "relaxed",
  "lattice_angstrom": [[5.849, 7.472, 3.854], [3.499, 9.482, -1.658], [-7.185, -7.287, 0.407]],
  "species": ["Ba", "Ba", "F", "F", "O", "Se", "Se", "Tm", "Tm"],
  "fractional_positions": [[0.324, 0.324, 0.000], [0.676, 0.676, 0.000], [0.750, 0.250, 0.500], [0.250, 0.750, 0.500], [0.500, 0.500, 0.000], [0.098, 0.098, 0.000], [0.902, 0.902, 0.000], [0.500, 0.000, 0.500], [0.000, 0.500, 0.500]],
  "spacegroup": "I4/mmm (139)",
  "m_tot_mub_per_atom": 0.003,
  "crystal_system": "tetragonal",
  "total_energy_ev_per_atom": -5.81
}

---

(10)
{
  "formula": "Ba2Zn3O4F2",
  "functional": "PBE",
  "state": "relaxed",
  "lattice_angstrom": [[-4.146, 1.055, 4.908], [-1.731, 6.238, -0.694], [-0.114, -4.754, -4.447]],
  "species": ["Ba", "Ba", "F", "F", "O", "O", "O", "O", "Zn", "Zn", "Zn"],
  "fractional_positions": [[0.183, 0.183, 0.000], [0.817, 0.817, 0.000], [0.750, 0.250, 0.500], [0.250, 0.750, 0.500], [0.749, 0.251, 0.000], [0.251, 0.749, 0.000], [0.749, 0.749, 0.498], [0.251, 0.251, 0.502], [0.500, 0.500, 0.000], [0.500, 0.000, 0.500], [0.000, 0.500, 0.500]],
  "spacegroup": "I4/mmm (139)",
  "crystal_system": "tetragonal",
  "total_energy_ev_per_atom": -4.95
}

---

(11)
{
  "formula": "Ba2ZrO3F",
  "functional": "PBE",
  "state": "relaxed",
  "lattice_angstrom": [[4.126, 0.000, 0.000], [0.000, 4.126, 0.000], [0.000, 0.000, 14.260]],
  "species": ["Ba", "Ba", "Ba", "Ba", "F", "F", "O", "O", "O", "O", "O", "O", "Zr", "Zr"],
  "fractional_positions": [[0.500, 0.000, 0.087], [0.500, 0.000, 0.387], [0.000, 0.500, 0.613], [0.000, 0.500, 0.913], [0.000, 0.500, 0.425], [0.500, 0.000, 0.575], [0.000, 0.500, 0.098], [0.000, 0.000, 0.272], [0.500, 0.500, 0.272], [0.000, 0.000, 0.728], [0.500, 0.500, 0.728], [0.500, 0.000, 0.902], [0.000, 0.500, 0.237], [0.500, 0.000, 0.763]],
  "spacegroup": "P4/nmm (129)",
  "m_tot_mub_per_atom": 0.001,
  "crystal_system": "tetragonal",
  "total_energy_ev_per_atom": -7.13
}

---

(12)
{
  "formula": "BaPdF3",
  "functional": "PBE",
  "state": "relaxed",
  "lattice_angstrom": [[-3.082, 3.082, 4.321], [3.082, -3.082, 4.321], [3.082, 3.082, -4.321]],
  "species": ["Ba", "Ba", "F", "F", "F", "F", "F", "F", "Pd", "Pd"],
  "fractional_positions": [[0.250, 0.250, 0.000], [0.750, 0.750, 0.000], [0.251, 0.751, 0.001], [0.750, 0.250, 0.500], [0.249, 0.251, 0.500], [0.751, 0.749, 0.500], [0.250, 0.750, 0.500], [0.749, 0.249, 0.999], [0.500, 0.000, 0.500], [0.000, 0.500, 0.500]],
  "spacegroup": "P4/mmm (123)",
  "crystal_system": "tetragonal",
  "total_energy_ev_per_atom": -4.71
}